Entry 1:
YHPdAu2 | GGA-PBE | optimized geometry

Output
Density of states at the Fermi level: 2.0 states/eV/cell
M_tot: 0.000 Bohr magnetons per cell
ΔE to the lowest computed polymorph: 0 meV/atom

a = 4.357 Å, b = 4.357 Å, c = 4.295 Å
α = 90.00°, β = 90.00°, γ = 90.00°
Fractional coordinates of all 5 atoms:
Y  0.000  0.000  0.500
H  0.000  0.000  0.000
Au  0.000  0.500  0.000
Au  0.500  0.000  0.000
Pd  0.500  0.500  0.500

Entry 2:
YHPdAu2 | GGA-PBE | optimized geometry

Output
Density of states at the Fermi level: 1.7 states/eV/cell
M_tot: 0.000 Bohr magnetons per cell
ΔE to the lowest computed polymorph: 48 meV/atom

a = 4.534 Å, b = 4.534 Å, c = 3.992 Å
α = 90.00°, β = 90.00°, γ = 90.00°
Fractional coordinates of all 5 atoms:
Y  0.500  0.500  0.500
H  0.000  0.000  0.000
Au  0.000  0.500  0.000
Au  0.500  0.000  0.000
Pd  0.000  0.000  0.500

Entry 3:
Y2HPd6Au | GGA-PBE | optimized geometry

Output
Density of states at the Fermi level: 3.0 states/eV/cell
M_tot: 0.000 Bohr magnetons per cell
Electronic total energy: -5.667 eV per atom

a = 5.551 Å, b = 7.202 Å, c = 5.548 Å
α = 65.63°, β = 62.39°, γ = 90.00°
Fractional coordinates of all 10 atoms:
Y  0.755  0.185  0.569
Y  0.245  0.815  0.431
H  0.500  0.500  0.000
Pd  0.319  0.364  0.468
Pd  0.700  0.733  0.967
Pd  0.168  0.636  0.045
Pd  0.832  0.364  0.955
Pd  0.300  0.267  0.033
Pd  0.681  0.636  0.532
Au  0.000  0.000  0.000

Entry 4:
Y2HPdAu | GGA-PBE | optimized geometry

Output
Density of states at the Fermi level: 4.0 states/eV/cell
M_tot: 0.000 Bohr magnetons per cell
ΔE to the lowest computed polymorph: 0 meV/atom

a = 4.998 Å, b = 4.998 Å, c = 3.725 Å
α = 90.00°, β = 90.00°, γ = 90.00°
Fractional coordinates of all 5 atoms:
Y  0.000  0.500  0.000
Y  0.500  0.000  0.000
H  0.000  0.000  0.000
Au  0.500  0.500  0.500
Pd  0.000  0.000  0.500

Entry 5:
Y2HPdAu | GGA-PBE | optimized geometry

Output
Density of states at the Fermi level: 2.8 states/eV/cell
M_tot: 0.000 Bohr magnetons per cell
ΔE to the lowest computed polymorph: 106 meV/atom

a = 4.917 Å, b = 4.917 Å, c = 3.853 Å
α = 90.00°, β = 90.00°, γ = 90.00°
Fractional coordinates of all 5 atoms:
Y  0.000  0.500  0.000
Y  0.500  0.000  0.000
H  0.000  0.000  0.000
Au  0.000  0.000  0.500
Pd  0.500  0.500  0.500

Entry 6:
Zn2HPdAu | GGA-PBE | optimized geometry

Output
Density of states at the Fermi level: 2.5 states/eV/cell
M_tot: 0.000 Bohr magnetons per cell
Electronic total energy: -3.034 eV per atom

a = 4.331 Å, b = 4.331 Å, c = 3.481 Å
α = 90.00°, β = 90.00°, γ = 90.00°
Fractional coordinates of all 5 atoms:
H  0.000  0.000  0.000
Zn  0.000  0.500  0.000
Zn  0.500  0.000  0.000
Au  0.500  0.500  0.500
Pd  0.000  0.000  0.500

Entry 7:
ZrHPd2Au | GGA-PBE | optimized geometry

Output
Density of states at the Fermi level: 3.8 states/eV/cell
M_tot: 0.000 Bohr magnetons per cell
Electronic total energy: -5.494 eV per atom

a = 4.107 Å, b = 4.107 Å, c = 4.288 Å
α = 90.00°, β = 90.00°, γ = 90.00°
Fractional coordinates of all 5 atoms:
H  0.000  0.000  0.000
Au  0.500  0.500  0.500
Zr  0.000  0.000  0.500
Pd  0.000  0.500  0.000
Pd  0.500  0.000  0.000

Entry 8:
Zr2HPdAu | GGA-PBE | optimized geometry

Output
Density of states at the Fermi level: 4.7 states/eV/cell
M_tot: 0.389 Bohr magnetons per cell
ΔE to the lowest computed polymorph: 0 meV/atom

a = 4.408 Å, b = 4.408 Å, c = 4.058 Å
α = 90.00°, β = 90.00°, γ = 90.00°
Fractional coordinates of all 5 atoms:
H  0.000  0.000  0.000
Au  0.500  0.500  0.500
Zr  0.000  0.500  0.000
Zr  0.500  0.000  0.000
Pd  0.000  0.000  0.500

Entry 9:
Zr2HPdAu | GGA-PBE | optimized geometry

Output
Density of states at the Fermi level: 4.7 states/eV/cell
M_tot: 0.000 Bohr magnetons per cell
ΔE to the lowest computed polymorph: 69 meV/atom

a = 4.306 Å, b = 4.306 Å, c = 4.244 Å
α = 90.00°, β = 90.00°, γ = 90.00°
Fractional coordinates of all 5 atoms:
H  0.000  0.000  0.000
Au  0.000  0.000  0.500
Zr  0.000  0.500  0.000
Zr  0.500  0.000  0.000
Pd  0.500  0.500  0.500

Entry 10:
PmHAu | GGA-PBE | optimized geometry

Output
Density of states at the Fermi level: 1.7 states/eV/cell
M_tot: 0.000 Bohr magnetons per cell
ΔE to the lowest computed polymorph: 0 meV/atom

a = 3.843 Å, b = 3.838 Å, c = 8.204 Å
α = 90.00°, β = 118.19°, γ = 90.00°
Fractional coordinates of all 6 atoms:
Pm  0.179  0.115  0.009
Pm  0.051  0.615  0.377
H  0.364  0.616  0.193
H  0.866  0.116  0.193
Au  0.472  0.615  0.803
Au  0.758  0.115  0.583

Entry 11:
Pm2HAu | GGA-PBE | optimized geometry

Output
Density of states at the Fermi level: 3.6 states/eV/cell
M_tot: 0.230 Bohr magnetons per cell
ΔE to the lowest computed polymorph: 0 meV/atom

a = 3.807 Å, b = 3.806 Å, c = 7.095 Å
α = 90.01°, β = 89.99°, γ = 120.01°
Fractional coordinates of all 4 atoms:
Pm  0.667  0.833  0.798
Pm  0.333  0.167  0.202
H  0.000  0.500  0.000
Au  0.000  0.500  0.500

Entry 12:
PmH2Au2 | GGA-PBE | optimized geometry

Output
Density of states at the Fermi level: 2.8 states/eV/cell
M_tot: 0.000 Bohr magnetons per cell
Electronic total energy: -3.980 eV per atom

a = 10.298 Å, b = 6.089 Å, c = 8.987 Å
α = 28.67°, β = 27.62°, γ = 16.91°
Fractional coordinates of all 5 atoms:
Pm  0.000  0.000  0.000
H  0.666  0.668  0.666
H  0.334  0.332  0.334
Au  0.172  0.667  0.662
Au  0.828  0.333  0.338

What is the formula in the eleventh record? Pm2HAu

M_tot of number 10 (PmHAu)? 0.000 Bohr magnetons per cell

Look up the M_tot of the tenth one. 0.000 Bohr magnetons per cell